First-principles (PBE) data for a relaxed structure of TbCeAsS, as listed in Alexandria via LeMat-Bulk.

Cell lengths 4.0884, 4.0884, 19.9910 Å; angles 90.00, 90.00, 120.00 degrees
With the nearest neighbours (Å) after each atom.
Space group R3m (No. 160, hexagonal axes)
Symmetry-distinct sites (fractional):
Tb: 0.0000 0.0000 0.0000 [3 per cell]  3 S 2.84, 3 As 2.89
Ce: 0.0000 0.0000 0.5037 [3 per cell]  3 S 2.90, 3 As 2.93
As: 0.0000 0.0000 0.7501 [3 per cell]  3 Tb 2.89, 3 Ce 2.93
S: 0.0000 0.0000 0.2546 [3 per cell]  3 Tb 2.84, 3 Ce 2.90

Computed properties:
V: 289.4 Å³/cell
Magnetization: 0.21 μB/atom
Formation energy without anion corrections: -1.768 eV/atom
D(E_F): 6.1 states/eV/f.u.

First-principles (PBE) data for a relaxed structure of Tb2Y6Pu, as listed in Alexandria via LeMat-Bulk.

Cell lengths 10.6560, 10.6560, 5.0143 Å; angles 90.00, 90.00, 90.00 degrees
With the nearest neighbours (Å) after each atom.
Space group P4_2/mnm (No. 136)
Symmetry-distinct sites (fractional):
Tb: 0.1642 0.1642 0.0000 [4 per cell]  10 Y 3.50-3.60, 2 Pu 3.52
Y: 0.9997 0.3308 0.5000 [8 per cell]  1 Pu 3.53, 8 Y 3.53-3.61, 3 Tb 3.54-3.58
Y: 0.1644 0.8356 0.0000 [4 per cell]  4 Tb 3.50-3.60, 2 Pu 3.52, 6 Y 3.53-3.58
Pu: 0.0000 0.0000 0.5000 [2 per cell]  4 Tb 3.52, 8 Y 3.52-3.53

Computed properties:
Polymorph energy (0 for the lowest one): 0.0 meV per atom
V: 569.4 Å³/cell
DFT formation energy: 0.05 eV per atom
Magnetization: 0.68 μB/atom
D(E_F): 16.7 states/eV/f.u.

First-principles (PBE) data for a relaxed structure of CuSiRu2, as listed in Alexandria via LeMat-Bulk.

Cell lengths 2.9219, 2.9219, 6.0522 Å; angles 90.00, 90.00, 90.00 degrees
With the nearest neighbours (Å) after each atom.
Space group P4mm (No. 99)
Symmetry-distinct sites (fractional):
Cu: 0.0000 0.0000 0.0000 [1 per cell]  4 Si 2.43, 5 Ru 2.60-2.70
Si: 0.5000 0.5000 0.7876 [1 per cell]  4 Cu 2.43, 4 Ru 2.50
Ru: 0.0000 0.0000 0.5542 [1 per cell]  4 Si 2.50, 1 Cu 2.70, 4 Ru 2.72
Ru: 0.5000 0.5000 0.2615 [1 per cell]  4 Cu 2.60, 4 Ru 2.72, 1 Si 2.87

Computed properties:
V: 51.7 Å³/cell
Magnetization: 0.00 μB/atom
Formation energy without anion corrections: -0.034 eV/atom
D(E_F): 3.7 states/eV/f.u.

Q: What is the formula in the third record?
A: CuSiRu2

Q: Look up the V of the third one.
A: 51.7 Å³/cell

Repeat the second record exactly.
First-principles (PBE) data for a relaxed structure of Tb2Y6Pu, as listed in Alexandria via LeMat-Bulk.

Cell lengths 10.6560, 10.6560, 5.0143 Å; angles 90.00, 90.00, 90.00 degrees
With the nearest neighbours (Å) after each atom.
Space group P4_2/mnm (No. 136)
Symmetry-distinct sites (fractional):
Tb: 0.1642 0.1642 0.0000 [4 per cell]  10 Y 3.50-3.60, 2 Pu 3.52
Y: 0.9997 0.3308 0.5000 [8 per cell]  1 Pu 3.53, 8 Y 3.53-3.61, 3 Tb 3.54-3.58
Y: 0.1644 0.8356 0.0000 [4 per cell]  4 Tb 3.50-3.60, 2 Pu 3.52, 6 Y 3.53-3.58
Pu: 0.0000 0.0000 0.5000 [2 per cell]  4 Tb 3.52, 8 Y 3.52-3.53

Computed properties:
Polymorph energy (0 for the lowest one): 0.0 meV per atom
V: 569.4 Å³/cell
DFT formation energy: 0.05 eV per atom
Magnetization: 0.68 μB/atom
D(E_F): 16.7 states/eV/f.u.